Entry 1:
# Er2LuBi

A relaxed structure of Er2LuBi (PBE, Alexandria).

a b c (Å): 10.937 10.937 10.937
angles (deg): 18.83 18.83 18.83
Sites, in units of the cell vectors:
Er1 0.248 0.248 0.248
Er2 0.752 0.752 0.752
Lu1 0.000 0.000 0.000
Bi1 0.500 0.500 0.500

Computed properties:
E above lowest polymorph ... 60.8 kJ/mol of formula units
Total energy ... -18.26 eV for the cell shown

Entry 2:
# Er2LuBi

A relaxed structure of Er2LuBi (PBE, Alexandria).

a b c (Å): 4.148 4.148 6.693
angles (deg): 90.00 90.00 90.00
Sites, in units of the cell vectors:
Er1 0.000 0.000 0.244
Er2 0.000 0.000 0.756
Lu1 0.500 0.500 0.500
Bi1 0.500 0.500 0.000

Computed properties:
E above lowest polymorph ... 0.0 kJ/mol of formula units
Total energy ... -18.89 eV for the cell shown

Entry 3:
# ErLu2Bi

A relaxed structure of ErLu2Bi (PBE, Alexandria).

a b c (Å): 3.986 3.986 7.212
angles (deg): 90.00 90.00 90.00
Sites, in units of the cell vectors:
Er1 0.000 0.000 0.000
Lu1 0.500 0.500 0.263
Lu2 0.500 0.500 0.737
Bi1 0.000 0.000 0.500

Computed properties:
E above lowest polymorph ... 0.0 kJ/mol of formula units
Total energy ... -18.67 eV for the cell shown

Entry 4:
# ErLu2Bi

A relaxed structure of ErLu2Bi (PBE, Alexandria).

a b c (Å): 4.801 4.801 4.836
angles (deg): 90.00 90.00 90.00
Sites, in units of the cell vectors:
Er1 0.000 0.000 0.000
Lu1 0.000 0.500 0.500
Lu2 0.500 0.000 0.500
Bi1 0.500 0.500 0.000

Computed properties:
E above lowest polymorph ... 11.7 kJ/mol of formula units
Total energy ... -18.55 eV for the cell shown

Entry 5:
# ErLu2Bi

A relaxed structure of ErLu2Bi (PBE, Alexandria).

a b c (Å): 11.950 11.950 11.950
angles (deg): 16.82 16.82 16.82
Sites, in units of the cell vectors:
Er1 0.000 0.000 0.000
Lu1 0.412 0.412 0.412
Lu2 0.588 0.588 0.588
Bi1 0.500 0.500 0.500

Computed properties:
E above lowest polymorph ... 134.5 kJ/mol of formula units
Total energy ... -17.28 eV for the cell shown

Entry 6:
# Er8MgBi6

A relaxed structure of Er8MgBi6 (PBE, Alexandria).

a b c (Å): 8.293 8.293 8.293
angles (deg): 67.11 67.11 67.11
Sites, in units of the cell vectors:
Er1 0.134 0.406 0.683
Er2 0.168 0.168 0.168
Er3 0.317 0.866 0.594
Er4 0.406 0.683 0.134
Er5 0.594 0.317 0.866
Er6 0.683 0.134 0.406
Er7 0.832 0.832 0.832
Er8 0.866 0.594 0.317
Mg1 0.500 0.500 0.500
Bi1 0.044 0.800 0.423
Bi2 0.200 0.577 0.956
Bi3 0.423 0.044 0.800
Bi4 0.577 0.956 0.200
Bi5 0.800 0.423 0.044
Bi6 0.956 0.200 0.577

Computed properties:
Total energy ... -68.85 eV for the cell shown

Entry 7:
# ErMgBi2

A relaxed structure of ErMgBi2 (PBE, Alexandria).

a b c (Å): 7.375 7.375 7.375
angles (deg): 35.92 35.92 35.92
Sites, in units of the cell vectors:
Er1 0.000 0.000 0.000
Mg1 0.830 0.830 0.830
Bi1 0.416 0.416 0.416
Bi2 0.583 0.583 0.583

Computed properties:
E above lowest polymorph ... 16.9 kJ/mol of formula units
Total energy ... -15.42 eV for the cell shown

Entry 8:
# ErMg2Bi

A relaxed structure of ErMg2Bi (PBE, Alexandria).

a b c (Å): 4.554 4.554 4.950
angles (deg): 90.00 90.00 90.00
Sites, in units of the cell vectors:
Er1 0.000 0.000 0.000
Mg1 0.000 0.500 0.500
Mg2 0.500 0.000 0.500
Bi1 0.500 0.500 0.000

Computed properties:
E above lowest polymorph ... 0.0 kJ/mol of formula units
Total energy ... -12.88 eV for the cell shown

Entry 9:
# ErMg2Bi

A relaxed structure of ErMg2Bi (PBE, Alexandria).

a b c (Å): 11.817 11.817 11.817
angles (deg): 16.41 16.41 16.41
Sites, in units of the cell vectors:
Er1 0.000 0.000 0.000
Mg1 0.090 0.090 0.090
Mg2 0.910 0.910 0.910
Bi1 0.500 0.500 0.500

Computed properties:
E above lowest polymorph ... 189.8 kJ/mol of formula units
Total energy ... -10.91 eV for the cell shown

Entry 10:
# Er4MgBi

A relaxed structure of Er4MgBi (PBE, Alexandria).

a b c (Å): 11.200 11.200 6.487
angles (deg): 90.00 90.00 151.21
Sites, in units of the cell vectors:
Er1 0.071 0.929 0.750
Er2 0.208 0.792 0.502
Er3 0.208 0.792 0.998
Er4 0.358 0.642 0.750
Er5 0.642 0.358 0.250
Er6 0.792 0.208 0.002
Er7 0.792 0.208 0.498
Er8 0.929 0.071 0.250
Mg1 0.074 0.926 0.250
Mg2 0.926 0.074 0.750
Bi1 0.348 0.652 0.250
Bi2 0.652 0.348 0.750

Computed properties:
Total energy ... -47.43 eV for the cell shown

Entry 11:
# ErMgBi2

A relaxed structure of ErMgBi2 (PBE, Alexandria).

a b c (Å): 5.421 5.421 5.421
angles (deg): 60.00 60.00 60.00
Sites, in units of the cell vectors:
Er1 0.000 0.000 0.000
Mg1 0.500 0.500 0.500
Bi1 0.250 0.250 0.250
Bi2 0.750 0.750 0.750

Computed properties:
E above lowest polymorph ... 55.8 kJ/mol of formula units
Total energy ... -15.02 eV for the cell shown

Entry 12:
# ErMgBi2

A relaxed structure of ErMgBi2 (PBE, Alexandria).

a b c (Å): 6.209 6.088 6.309
angles (deg): 90.00 93.72 90.00
Sites, in units of the cell vectors:
Er1 0.043 0.250 0.275
Er2 0.957 0.750 0.725
Mg1 0.444 0.750 0.337
Mg2 0.556 0.250 0.663
Bi1 0.054 0.250 0.768
Bi2 0.470 0.750 0.827
Bi3 0.530 0.250 0.173
Bi4 0.946 0.750 0.232

Computed properties:
E above lowest polymorph ... 11.3 kJ/mol of formula units
Total energy ... -30.96 eV for the cell shown

Entry 13:
# ErMgBi2

A relaxed structure of ErMgBi2 (PBE, Alexandria).

a b c (Å): 5.133 5.133 4.184
angles (deg): 90.00 90.00 90.00
Sites, in units of the cell vectors:
Er1 0.000 0.000 0.000
Mg1 0.500 0.500 0.000
Bi1 0.000 0.500 0.500
Bi2 0.500 0.000 0.500

Computed properties:
E above lowest polymorph ... 13.0 kJ/mol of formula units
Total energy ... -15.46 eV for the cell shown

Entry 14:
# ErMgBi2

A relaxed structure of ErMgBi2 (PBE, Alexandria).

a b c (Å): 4.584 4.584 10.689
angles (deg): 90.00 90.00 90.00
Sites, in units of the cell vectors:
Er1 0.250 0.250 0.221
Er2 0.750 0.750 0.779
Mg1 0.250 0.750 0.500
Mg2 0.750 0.250 0.500
Bi1 0.250 0.250 0.691
Bi2 0.250 0.750 0.000
Bi3 0.750 0.250 0.000
Bi4 0.750 0.750 0.309

Computed properties:
E above lowest polymorph ... 0.0 kJ/mol of formula units
Total energy ... -31.20 eV for the cell shown

Entry 15:
# ErMgBi3

A relaxed structure of ErMgBi3 (PBE, Alexandria).

a b c (Å): 13.677 6.487 6.502
angles (deg): 90.00 90.00 90.00
Sites, in units of the cell vectors:
Er1 0.180 0.003 0.250
Er2 0.180 0.497 0.750
Er3 0.820 0.503 0.250
Er4 0.820 0.997 0.750
Mg1 0.386 0.750 0.000
Mg2 0.386 0.750 0.500
Mg3 0.614 0.250 0.000
Mg4 0.614 0.250 0.500
Bi1 0.004 0.750 0.000
Bi2 0.004 0.750 0.500
Bi3 0.232 0.005 0.750
Bi4 0.232 0.495 0.250
Bi5 0.417 0.169 0.250
Bi6 0.417 0.331 0.750
Bi7 0.583 0.669 0.250
Bi8 0.583 0.831 0.750
Bi9 0.768 0.505 0.750
Bi10 0.768 0.995 0.250
Bi11 0.996 0.250 0.000
Bi12 0.996 0.250 0.500

Computed properties:
Total energy ... -78.23 eV for the cell shown

Entry 16:
# ErMgBi2

A relaxed structure of ErMgBi2 (PBE, Alexandria).

a b c (Å): 7.593 7.593 7.593
angles (deg): 33.87 33.87 33.87
Sites, in units of the cell vectors:
Er1 0.000 0.000 0.000
Mg1 0.500 0.500 0.500
Bi1 0.247 0.247 0.247
Bi2 0.753 0.753 0.753

Computed properties:
E above lowest polymorph ... 22.2 kJ/mol of formula units
Total energy ... -15.37 eV for the cell shown

Entry 17:
# NdErMgBi

A relaxed structure of NdErMgBi (PBE, Alexandria).

a b c (Å): 5.473 5.473 5.473
angles (deg): 60.00 60.00 60.00
Sites, in units of the cell vectors:
Nd1 0.000 0.000 0.000
Er1 0.500 0.500 0.500
Mg1 0.250 0.250 0.250
Bi1 0.750 0.750 0.750

Computed properties:
Total energy ... -16.05 eV for the cell shown

Entry 18:
# ErMg2BiO6

A relaxed structure of ErMg2BiO6 (PBE, Alexandria).

a b c (Å): 5.801 5.801 5.801
angles (deg): 56.07 56.07 56.07
Sites, in units of the cell vectors:
Er1 0.000 0.000 0.000
Mg1 0.283 0.283 0.283
Mg2 0.786 0.786 0.786
Bi1 0.490 0.490 0.490
O1 0.084 0.670 0.415
O2 0.188 0.580 0.893
O3 0.415 0.084 0.670
O4 0.580 0.893 0.188
O5 0.670 0.415 0.084
O6 0.893 0.188 0.580

Computed properties:
Formation energy without anion corrections ... -2.29 eV/atom
Total energy ... -64.27 eV for the cell shown

Entry 19:
# ErMgBiPb

A relaxed structure of ErMgBiPb (PBE, Alexandria).

a b c (Å): 5.393 5.393 5.393
angles (deg): 60.00 60.00 60.00
Sites, in units of the cell vectors:
Er1 0.000 0.000 0.000
Mg1 0.500 0.500 0.500
Bi1 0.750 0.750 0.750
Pb1 0.250 0.250 0.250

Computed properties:
Total energy ... -14.59 eV for the cell shown

Entry 20:
# ErMgBiPd

A relaxed structure of ErMgBiPd (PBE, Alexandria).

a b c (Å): 5.064 5.064 5.064
angles (deg): 60.00 60.00 60.00
Sites, in units of the cell vectors:
Er1 0.000 0.000 0.000
Mg1 0.500 0.500 0.500
Bi1 0.750 0.750 0.750
Pd1 0.250 0.250 0.250

Computed properties:
Total energy ... -17.32 eV for the cell shown

Entry 21:
# PmErMgBi

A relaxed structure of PmErMgBi (PBE, Alexandria).

a b c (Å): 5.456 5.456 5.456
angles (deg): 60.00 60.00 60.00
Sites, in units of the cell vectors:
Pm1 0.000 0.000 0.000
Er1 0.500 0.500 0.500
Mg1 0.250 0.250 0.250
Bi1 0.750 0.750 0.750

Computed properties:
Total energy ... -16.02 eV for the cell shown

Entry 22:
# ErMgSc2Bi4

A relaxed structure of ErMgSc2Bi4 (PBE, Alexandria).

a b c (Å): 7.483 4.302 7.624
angles (deg): 90.00 109.34 90.00
Sites, in units of the cell vectors:
Er1 0.000 0.000 0.000
Mg1 0.500 0.500 0.000
Sc1 0.000 0.500 0.500
Sc2 0.500 0.000 0.500
Bi1 0.252 0.000 0.742
Bi2 0.257 0.500 0.261
Bi3 0.743 0.500 0.739
Bi4 0.748 0.000 0.258

Computed properties:
Total energy ... -38.46 eV for the cell shown

Entry 23:
# TbEr2MgBi4

A relaxed structure of TbEr2MgBi4 (PBE, Alexandria).

a b c (Å): 7.728 4.421 7.765
angles (deg): 90.00 109.76 90.00
Sites, in units of the cell vectors:
Tb1 0.000 0.000 0.000
Er1 0.000 0.500 0.500
Er2 0.500 0.000 0.500
Mg1 0.500 0.500 0.000
Bi1 0.253 0.500 0.252
Bi2 0.257 0.000 0.754
Bi3 0.743 0.000 0.246
Bi4 0.747 0.500 0.748

Computed properties:
Total energy ... -35.62 eV for the cell shown

Entry 24:
# Tb2ErMgBi4

A relaxed structure of Tb2ErMgBi4 (PBE, Alexandria).

a b c (Å): 7.743 4.437 7.781
angles (deg): 90.00 109.87 90.00
Sites, in units of the cell vectors:
Tb1 0.000 0.000 0.000
Tb2 0.000 0.500 0.500
Er1 0.500 0.000 0.500
Mg1 0.500 0.500 0.000
Bi1 0.254 0.500 0.250
Bi2 0.260 0.000 0.757
Bi3 0.740 0.000 0.243
Bi4 0.746 0.500 0.750

Computed properties:
Total energy ... -35.80 eV for the cell shown

Entry 25:
# ErMgTlBi

A relaxed structure of ErMgTlBi (PBE, Alexandria).

a b c (Å): 5.359 5.359 5.359
angles (deg): 60.00 60.00 60.00
Sites, in units of the cell vectors:
Er1 0.000 0.000 0.000
Mg1 0.500 0.500 0.500
Tl1 0.750 0.750 0.750
Bi1 0.250 0.250 0.250

Computed properties:
Total energy ... -13.22 eV for the cell shown

Entry 26:
# ErTmMgBi

A relaxed structure of ErTmMgBi (PBE, Alexandria).

a b c (Å): 5.389 5.389 5.389
angles (deg): 60.00 60.00 60.00
Sites, in units of the cell vectors:
Er1 0.000 0.000 0.000
Tm1 0.500 0.500 0.500
Mg1 0.250 0.250 0.250
Bi1 0.750 0.750 0.750

Computed properties:
Total energy ... -15.53 eV for the cell shown